No. 1
The following is a PBE-GGA calculation of a relaxed structure of Pm4Nd3ErS8, from Alexandria via LeMat-Bulk. Values from VASP.

Summary:
Calculated density in g/cm³: 6.450
M_tot in μB/atom: 0.00
Volume in Å³ per cell: 370
ΔE_f (raw) in eV/atom: -2.013
D(E_F) in states/eV per atom: 0.53
Space group: R-3m, No. 166
Electronic total energy in eV/atom: -6.443

Geometry as Quantum ESPRESSO input:
```
&SYSTEM
  ibrav = 0, nat = 16, ntyp = 4
/
ATOMIC_SPECIES
Er 167.26 Er.upf
S 32.06 S.upf
Nd 144.24 Nd.upf
Pm 145.00 Pm.upf
CELL_PARAMETERS angstrom
8.062 0.000 0.000
0.000 8.052 -0.012
-4.031 -4.027 5.703
ATOMIC_POSITIONS crystal
Er 0.000 0.500 0.000
S 0.751 0.753 0.502
S 0.756 0.254 0.513
S 0.756 0.254 0.998
S 0.244 0.746 0.487
S 0.241 0.254 0.998
S 0.249 0.247 0.498
S 0.759 0.746 0.002
S 0.244 0.746 0.002
Nd 0.000 0.500 0.500
Nd 0.500 0.500 0.000
Nd 0.500 0.500 0.500
Pm 0.000 0.000 0.500
Pm 0.000 0.000 0.000
Pm 0.500 0.000 0.000
Pm 0.500 0.000 0.500
```



No. 2
The following is a PBE-GGA calculation of a relaxed structure of PmNdEr2Sb4, from Alexandria via LeMat-Bulk. Values from VASP.

Summary:
Calculated density in g/cm³: 7.492
M_tot in μB/atom: 0.00
Volume in Å³ per cell: 246
ΔE_f (raw) in eV/atom: -1.137
D(E_F) in states/eV per atom: 0.14
Space group: P2/m, No. 10
Electronic total energy in eV/atom: -5.529

Geometry as Quantum ESPRESSO input:
```
&SYSTEM
  ibrav = 0, nat = 8, ntyp = 4
/
ATOMIC_SPECIES
Er 167.26 Er.upf
Nd 144.24 Nd.upf
Pm 145.00 Pm.upf
Sb 121.76 Sb.upf
CELL_PARAMETERS angstrom
4.436 0.000 0.000
0.000 7.667 -0.147
0.000 2.701 7.187
ATOMIC_POSITIONS crystal
Er 0.500 0.000 0.500
Er 0.000 0.000 0.000
Nd 0.500 0.500 0.000
Pm 0.000 0.500 0.500
Sb 0.500 0.760 0.248
Sb 0.500 0.240 0.752
Sb 0.000 0.761 0.746
Sb 0.000 0.239 0.254
```



No. 3
The following is a PBE-GGA calculation of a relaxed structure of Pm2NdErSb4, from Alexandria via LeMat-Bulk. Values from VASP.

Summary:
Calculated density in g/cm³: 7.170
M_tot in μB/atom: 0.00
Volume in Å³ per cell: 252
ΔE_f (raw) in eV/atom: -1.158
D(E_F) in states/eV per atom: 0.13
Space group: P2/m, No. 10
Electronic total energy in eV/atom: -5.573

Geometry as Quantum ESPRESSO input:
```
&SYSTEM
  ibrav = 0, nat = 8, ntyp = 4
/
ATOMIC_SPECIES
Nd 144.24 Nd.upf
Sb 121.76 Sb.upf
Er 167.26 Er.upf
Pm 145.00 Pm.upf
CELL_PARAMETERS angstrom
-2.139 -3.744 1.177
5.982 -4.209 -2.517
5.027 -1.054 5.782
ATOMIC_POSITIONS crystal
Nd 0.500 0.500 0.000
Sb 0.000 0.748 0.746
Sb 0.500 0.256 0.743
Sb 0.500 0.744 0.257
Sb 0.000 0.252 0.254
Er 0.000 0.500 0.500
Pm 0.000 0.000 0.000
Pm 0.500 0.000 0.500
```



No. 4
The following is a PBE-GGA calculation of a relaxed structure of Pm3Nd2ErSb6, from Alexandria via LeMat-Bulk. Values from VASP.

Summary:
Calculated density in g/cm³: 7.054
M_tot in μB/atom: 0.00
Volume in Å³ per cell: 382
ΔE_f (raw) in eV/atom: -1.168
D(E_F) in states/eV per atom: 0.16
Space group: C2/m, No. 12
Electronic total energy in eV/atom: -5.591

Geometry as Quantum ESPRESSO input:
```
&SYSTEM
  ibrav = 0, nat = 12, ntyp = 4
/
ATOMIC_SPECIES
Sb 121.76 Sb.upf
Nd 144.24 Nd.upf
Er 167.26 Er.upf
Pm 145.00 Pm.upf
CELL_PARAMETERS angstrom
4.483 0.000 0.000
0.000 8.953 0.319
-2.242 -2.579 9.417
ATOMIC_POSITIONS crystal
Sb 0.999 0.243 0.997
Sb 0.666 0.584 0.333
Sb 0.001 0.757 0.003
Sb 0.664 0.080 0.328
Sb 0.336 0.920 0.672
Sb 0.334 0.416 0.667
Nd 0.834 0.668 0.669
Nd 0.166 0.332 0.331
Er 0.500 0.000 0.000
Pm 0.168 0.834 0.336
Pm 0.500 0.500 0.000
Pm 0.832 0.166 0.664
```



No. 5
The following is a PBE-GGA calculation of a relaxed structure of PmNd2Er2Sc2, from Alexandria via LeMat-Bulk. Values from VASP.

Summary:
Calculated density in g/cm³: 6.487
M_tot in μB/atom: 0.00
Volume in Å³ per cell: 220
D(E_F) in states/eV per atom: 1.71
Space group: C2/m, No. 12
Electronic total energy in eV/atom: -4.973
Calculated formation energy in eV per atom: 0.181

Geometry as Quantum ESPRESSO input:
```
&SYSTEM
  ibrav = 0, nat = 7, ntyp = 4
/
ATOMIC_SPECIES
Er 167.26 Er.upf
Nd 144.24 Nd.upf
Sc 44.96 Sc.upf
Pm 145.00 Pm.upf
CELL_PARAMETERS angstrom
-1.861 -1.595 -2.352
7.695 0.917 -4.259
-0.730 -6.630 5.074
ATOMIC_POSITIONS crystal
Er 0.213 0.427 0.791
Er 0.787 0.573 0.209
Nd 0.429 0.857 0.087
Nd 0.571 0.143 0.913
Sc 0.346 0.692 0.602
Sc 0.654 0.308 0.398
Pm 0.000 0.000 0.500
```



No. 6
The following is a PBE-GGA calculation of a relaxed structure of Pm2Nd5ErSc, from Alexandria via LeMat-Bulk. Values from VASP.

Summary:
Calculated density in g/cm³: 6.633
M_tot in μB/atom: 0.00
Volume in Å³ per cell: 613
D(E_F) in states/eV per atom: 1.36
Space group: Cmc2_1, No. 36
Electronic total energy in eV/atom: -4.798
Calculated formation energy in eV per atom: 0.117

Geometry as Quantum ESPRESSO input:
```
&SYSTEM
  ibrav = 0, nat = 18, ntyp = 4
/
ATOMIC_SPECIES
Nd 144.24 Nd.upf
Er 167.26 Er.upf
Pm 145.00 Pm.upf
Sc 44.96 Sc.upf
CELL_PARAMETERS angstrom
5.424 0.000 0.000
-2.712 11.041 0.000
0.000 0.000 10.229
ATOMIC_POSITIONS crystal
Nd 0.278 0.556 0.697
Nd 0.500 0.000 0.758
Nd 0.000 0.001 0.008
Nd 0.277 0.554 0.321
Nd 0.500 0.000 0.258
Nd 0.628 0.256 0.508
Nd 0.723 0.446 0.821
Nd 0.722 0.444 0.197
Nd 0.000 0.999 0.508
Nd 0.372 0.744 0.008
Er 0.603 0.205 0.008
Er 0.397 0.795 0.508
Pm 0.885 0.769 0.759
Pm 0.884 0.768 0.257
Pm 0.115 0.231 0.259
Pm 0.116 0.232 0.757
Sc 0.211 0.422 0.009
Sc 0.789 0.578 0.509
```



Which formula does entry 1 have?
Pm4Nd3ErS8



What did the sixth record say?
The following is a PBE-GGA calculation of a relaxed structure of Pm2Nd5ErSc, from Alexandria via LeMat-Bulk. Values from VASP.

Summary:
Calculated density in g/cm³: 6.633
M_tot in μB/atom: 0.00
Volume in Å³ per cell: 613
D(E_F) in states/eV per atom: 1.36
Space group: Cmc2_1, No. 36
Electronic total energy in eV/atom: -4.798
Calculated formation energy in eV per atom: 0.117

Geometry as Quantum ESPRESSO input:
```
&SYSTEM
  ibrav = 0, nat = 18, ntyp = 4
/
ATOMIC_SPECIES
Nd 144.24 Nd.upf
Er 167.26 Er.upf
Pm 145.00 Pm.upf
Sc 44.96 Sc.upf
CELL_PARAMETERS angstrom
5.424 0.000 0.000
-2.712 11.041 0.000
0.000 0.000 10.229
ATOMIC_POSITIONS crystal
Nd 0.278 0.556 0.697
Nd 0.500 0.000 0.758
Nd 0.000 0.001 0.008
Nd 0.277 0.554 0.321
Nd 0.500 0.000 0.258
Nd 0.628 0.256 0.508
Nd 0.723 0.446 0.821
Nd 0.722 0.444 0.197
Nd 0.000 0.999 0.508
Nd 0.372 0.744 0.008
Er 0.603 0.205 0.008
Er 0.397 0.795 0.508
Pm 0.885 0.769 0.759
Pm 0.884 0.768 0.257
Pm 0.115 0.231 0.259
Pm 0.116 0.232 0.757
Sc 0.211 0.422 0.009
Sc 0.789 0.578 0.509
```



Look up the volume of the second one.
246 Å³ per cell